Record 1
# Ni2BPdSe

A geometry-optimized Ni2BPdSe structure (PBE-GGA, Alexandria).

```
5
Lattice="4.7091 0.0000 0.0000 0.0000 4.7091 0.0000 0.0000 0.0000 3.8753" Properties=species:S:1:pos:R:3 pbc="T T T"
Ni 0.0000 2.3546 0.0000
Ni 2.3546 0.0000 0.0000
B 0.0000 0.0000 1.9377
Pd 0.0000 0.0000 0.0000
Se 2.3546 2.3546 1.9377
```

SG ... P4/mmm, No. 123
Magnetization ... 1.261 μB/f.u.
DFT total energy ... -21.59 eV per cell

***

Record 2
# TlNiBPd2

A geometry-optimized TlNiBPd2 structure (PBE-GGA, Alexandria).

```
5
Lattice="4.2848 0.0000 0.0000 0.0000 4.2848 0.0000 0.0000 0.0000 3.9732" Properties=species:S:1:pos:R:3 pbc="T T T"
Tl 0.0000 0.0000 0.0000
Ni 2.1424 2.1424 0.0000
B 2.1424 2.1424 1.9866
Pd 0.0000 2.1424 1.9866
Pd 2.1424 0.0000 1.9866
```

SG ... P4/mmm, No. 123
Magnetization ... 0.000 μB/f.u.
Energy relative to the elements ... -6.5 kJ/mol of atoms

***

Record 3
# YNi2BPd

A geometry-optimized YNi2BPd structure (PBE-GGA, Alexandria).

```
5
Lattice="4.0546 0.0000 0.0000 0.0000 4.0546 0.0000 0.0000 0.0000 4.3084" Properties=species:S:1:pos:R:3 pbc="T T T"
Y 0.0000 0.0000 0.0000
Ni 0.0000 2.0273 2.1542
Ni 2.0273 0.0000 2.1542
B 2.0273 2.0273 2.1542
Pd 2.0273 2.0273 0.0000
```

SG ... P4/mmm, No. 123
Magnetization ... 0.000 μB/f.u.
Energy relative to the elements ... -41.7 kJ/mol of atoms

***

Record 4
# YNiBPd2

A geometry-optimized YNiBPd2 structure (PBE-GGA, Alexandria).

```
5
Lattice="4.3333 0.0000 0.0000 0.0000 4.3333 0.0000 0.0000 0.0000 4.0424" Properties=species:S:1:pos:R:3 pbc="T T T"
Y 0.0000 0.0000 0.0000
Ni 2.1667 2.1667 0.0000
B 2.1667 2.1667 2.0212
Pd 0.0000 2.1667 2.0212
Pd 2.1667 0.0000 2.0212
```

SG ... P4/mmm, No. 123
Magnetization ... 0.000 μB/f.u.
Energy relative to the elements ... -49.9 kJ/mol of atoms

***

Record 5
# Pm3NiB7

A geometry-optimized Pm3NiB7 structure (PBE-GGA, Alexandria).

```
22
Lattice="1.7597 -8.1047 0.0000 1.7597 8.1047 0.0000 0.0000 0.0000 9.5155" Properties=species:S:1:pos:R:3 pbc="T T T"
Pm 1.7597 6.4023 5.3764
Pm 1.7597 6.4023 8.8969
Pm 1.7597 4.1665 2.3789
Pm 1.7597 -4.1665 7.1367
Pm 1.7597 -6.4023 0.6186
Pm 1.7597 -6.4023 4.1391
Ni 1.7597 7.1668 2.3789
Ni 1.7597 -7.1668 7.1367
B 1.7597 3.6647 5.0486
B 1.7597 3.6647 9.2247
B 1.7597 2.0931 6.2029
B 1.7597 2.0931 8.0704
B 1.7597 0.4703 2.3789
B 1.7597 0.3694 5.6348
B 1.7597 0.3694 8.6385
B 1.7597 -0.3694 0.8770
B 1.7597 -0.3694 3.8807
B 1.7597 -0.4703 7.1367
B 1.7597 -2.0931 1.4451
B 1.7597 -2.0931 3.3127
B 1.7597 -3.6647 0.2908
B 1.7597 -3.6647 4.4669
```

SG ... Cmcm, No. 63
Magnetization ... 0.001 μB/f.u.
Energy relative to the elements ... -34.7 kJ/mol of atoms

***

Record 6
# PmNi2B2

A geometry-optimized PmNi2B2 structure (PBE-GGA, Alexandria).

```
5
Lattice="5.1134 -1.6303 0.0000 5.1134 1.6303 0.0000 -0.9236 0.0000 3.8429" Properties=species:S:1:pos:R:3 pbc="T T T"
Pm 0.0000 0.0000 0.0000
Ni 2.9149 0.0000 1.5445
Ni 6.3882 0.0000 2.2984
B 1.8771 0.0000 3.3694
B 7.4261 0.0000 0.4736
```

SG ... C2/m, No. 12
Magnetization ... 0.000 μB/f.u.
Energy relative to the elements ... -36.2 kJ/mol of atoms